1.
Er12Ni6Bi after structural relaxation, computed with PBE-GGA.

CIF file:
```
data_Er12Ni6Bi
_symmetry_space_group_name_H-M 'P 1'
_symmetry_Int_Tables_number 1
_cell_length_a 8.3665
_cell_length_b 8.3665
_cell_length_c 8.3665
_cell_angle_alpha 109.47
_cell_angle_beta 109.47
_cell_angle_gamma 109.47
loop_
_symmetry_equiv_pos_as_xyz
'x,y,z'
loop_
_atom_site_label
_atom_site_type_symbol
_atom_site_fract_x
_atom_site_fract_y
_atom_site_fract_z
Er1 Er 0.3066 0.1178 0.8113
Er2 Er 0.3066 0.4953 0.1887
Er3 Er 0.6934 0.5047 0.8113
Er4 Er 0.6934 0.8822 0.1887
Er5 Er 0.1178 0.8113 0.3066
Er6 Er 0.4953 0.1887 0.3066
Er7 Er 0.5047 0.8113 0.6934
Er8 Er 0.8822 0.1887 0.6934
Er9 Er 0.8113 0.3066 0.1178
Er10 Er 0.1887 0.3066 0.4953
Er11 Er 0.8113 0.6934 0.5047
Er12 Er 0.1887 0.6934 0.8822
Ni1 Ni 0.3762 0.5000 0.8762
Ni2 Ni 0.6238 0.5000 0.1238
Ni3 Ni 0.5000 0.8762 0.3762
Ni4 Ni 0.5000 0.1238 0.6238
Ni5 Ni 0.8762 0.3762 0.5000
Ni6 Ni 0.1238 0.6238 0.5000
Bi1 Bi 0.0000 0.0000 0.0000
```

Values from the calculation:
symmetry	Im-3

***

2.
ErNi4Bi after structural relaxation, computed with PBE-GGA.

CIF file:
```
data_ErNi4Bi
_symmetry_space_group_name_H-M 'P 1'
_symmetry_Int_Tables_number 1
_cell_length_a 5.0513
_cell_length_b 5.0513
_cell_length_c 5.0513
_cell_angle_alpha 60.00
_cell_angle_beta 60.00
_cell_angle_gamma 60.00
loop_
_symmetry_equiv_pos_as_xyz
'x,y,z'
loop_
_atom_site_label
_atom_site_type_symbol
_atom_site_fract_x
_atom_site_fract_y
_atom_site_fract_z
Ni1 Ni 0.6258 0.6258 0.1225
Ni2 Ni 0.6258 0.1225 0.6258
Ni3 Ni 0.6258 0.6258 0.6258
Ni4 Ni 0.1225 0.6258 0.6258
Bi1 Bi 0.2500 0.2500 0.2500
Er1 Er 0.0000 0.0000 0.0000
```

Values from the calculation:
symmetry	F-43m

***

3.
Er12Ni5Bi after structural relaxation, computed with PBE-GGA.

CIF file:
```
data_Er12Ni5Bi
_symmetry_space_group_name_H-M 'P 1'
_symmetry_Int_Tables_number 1
_cell_length_a 8.2836
_cell_length_b 8.2836
_cell_length_c 8.2836
_cell_angle_alpha 106.98
_cell_angle_beta 111.75
_cell_angle_gamma 109.72
loop_
_symmetry_equiv_pos_as_xyz
'x,y,z'
loop_
_atom_site_label
_atom_site_type_symbol
_atom_site_fract_x
_atom_site_fract_y
_atom_site_fract_z
Er1 Er 0.5276 0.8205 0.7070
Er2 Er 0.4724 0.1795 0.2930
Er3 Er 0.8865 0.1795 0.7070
Er4 Er 0.1135 0.8205 0.2930
Er5 Er 0.6924 0.6799 0.3722
Er6 Er 0.3076 0.3201 0.6278
Er7 Er 0.3076 0.6799 0.9875
Er8 Er 0.6924 0.3201 0.0125
Er9 Er 0.8066 0.5988 0.7922
Er10 Er 0.1934 0.4012 0.2078
Er11 Er 0.1934 0.9857 0.7922
Er12 Er 0.8066 0.0143 0.2078
Ni1 Ni 0.6342 0.6342 0.0000
Ni2 Ni 0.3658 0.3658 0.0000
Ni3 Ni 0.5000 0.1238 0.6238
Ni4 Ni 0.5000 0.8762 0.3762
Ni5 Ni 0.0000 0.0000 0.0000
Bi1 Bi 0.0000 0.5000 0.5000
```

Values from the calculation:
symmetry	Immm

***

4.
Er8Ni3Bi2 after structural relaxation, computed with PBE-GGA.

CIF file:
```
data_Er8Ni3Bi2
_symmetry_space_group_name_H-M 'P 1'
_symmetry_Int_Tables_number 1
_cell_length_a 6.5161
_cell_length_b 7.2214
_cell_length_c 8.8052
_cell_angle_alpha 114.21
_cell_angle_beta 100.63
_cell_angle_gamma 90.00
loop_
_symmetry_equiv_pos_as_xyz
'x,y,z'
loop_
_atom_site_label
_atom_site_type_symbol
_atom_site_fract_x
_atom_site_fract_y
_atom_site_fract_z
Er1 Er 0.8517 0.5718 0.1437
Er2 Er 0.1483 0.4282 0.8563
Er3 Er 0.8619 0.1230 0.2461
Er4 Er 0.1381 0.8770 0.7539
Er5 Er 0.6351 0.6535 0.7969
Er6 Er 0.6351 0.1434 0.7969
Er7 Er 0.3649 0.8566 0.2031
Er8 Er 0.3649 0.3465 0.2031
Ni1 Ni 0.5000 0.0000 0.0000
Ni2 Ni 0.0000 0.1869 0.0000
Ni3 Ni 0.0000 0.8131 0.0000
Bi1 Bi 0.3123 0.2620 0.5239
Bi2 Bi 0.6877 0.7380 0.4761
```

Values from the calculation:
symmetry	C2/m

***

5.
Er2NiBi after structural relaxation, computed with PBE-GGA.

CIF file:
```
data_Er2NiBi
_symmetry_space_group_name_H-M 'P 1'
_symmetry_Int_Tables_number 1
_cell_length_a 4.0958
_cell_length_b 6.1589
_cell_length_c 8.2431
_cell_angle_alpha 109.67
_cell_angle_beta 90.00
_cell_angle_gamma 90.00
loop_
_symmetry_equiv_pos_as_xyz
'x,y,z'
loop_
_atom_site_label
_atom_site_type_symbol
_atom_site_fract_x
_atom_site_fract_y
_atom_site_fract_z
Er1 Er 0.7500 0.2594 0.4528
Er2 Er 0.2500 0.7406 0.5472
Er3 Er 0.7500 0.6627 0.8928
Er4 Er 0.2500 0.3373 0.1072
Ni1 Ni 0.7500 0.6189 0.2950
Ni2 Ni 0.2500 0.3811 0.7050
Bi1 Bi 0.7500 0.1178 0.7918
Bi2 Bi 0.2500 0.8822 0.2082
```

Values from the calculation:
symmetry	P2_1/m

***

6.
Er6NiBi2 after structural relaxation, computed with PBE-GGA.

CIF file:
```
data_Er6NiBi2
_symmetry_space_group_name_H-M 'P 1'
_symmetry_Int_Tables_number 1
_cell_length_a 6.4117
_cell_length_b 7.8507
_cell_length_c 10.1322
_cell_angle_alpha 90.00
_cell_angle_beta 91.68
_cell_angle_gamma 90.00
loop_
_symmetry_equiv_pos_as_xyz
'x,y,z'
loop_
_atom_site_label
_atom_site_type_symbol
_atom_site_fract_x
_atom_site_fract_y
_atom_site_fract_z
Er1 Er 0.8713 0.9788 0.2511
Er2 Er 0.8677 0.6815 0.5386
Er3 Er 0.8616 0.6912 0.9634
Er4 Er 0.6384 0.1912 0.5366
Er5 Er 0.6323 0.1815 0.9614
Er6 Er 0.6287 0.4788 0.2489
Er7 Er 0.1287 0.0212 0.7489
Er8 Er 0.1323 0.3185 0.4614
Er9 Er 0.1384 0.3088 0.0366
Er10 Er 0.3616 0.8088 0.4634
Er11 Er 0.3677 0.8185 0.0386
Er12 Er 0.3713 0.5212 0.7511
Ni1 Ni 0.5000 0.5000 0.0000
Ni2 Ni 0.0000 0.0000 0.5000
Bi1 Bi 0.8990 0.3869 0.7539
Bi2 Bi 0.6010 0.8869 0.7461
Bi3 Bi 0.3990 0.1131 0.2539
Bi4 Bi 0.1010 0.6131 0.2461
```

Values from the calculation:
symmetry	P2_1/c

***

Number 1: energy -101.3 eV per cell, ΔE_f -0.420 eV/atom. Number 2: energy -33.1 eV per cell, ΔE_f -0.252 eV/atom. Number 3: energy -94.7 eV per cell, ΔE_f -0.395 eV/atom. Number 4: energy -65.9 eV per cell, ΔE_f -0.333 eV/atom. Number 5: energy -42.1 eV per cell, ΔE_f -0.564 eV/atom. Number 6: energy -89.2 eV per cell, ΔE_f -0.410 eV/atom.